[1]
BaTbAl4Pd2 after structural relaxation, computed with PBE-GGA.

Structure (POSCAR):
```
BaTbAl4Pd2
1.0
7.372 0.000 0.000
0.000 2.125 5.556
0.000 -2.125 5.556
Ba Tb Al Pd
1 1 4 2
Cartesian
0.000 0.000 0.000
3.686 0.000 9.929
1.496 0.000 3.106
2.336 0.000 6.876
5.036 0.000 6.876
5.876 0.000 3.106
0.000 0.000 8.083
3.686 0.000 1.833
```

Values from the calculation:
* final energy: -4.5794 eV/atom

[2]
BaPmAl after structural relaxation, computed with PBE-GGA.

Structure (POSCAR):
```
BaPmAl
1.0
0.000 3.883 3.883
3.883 0.000 3.883
3.883 3.883 0.000
Ba Pm Al
1 1 1
Cartesian
0.000 0.000 0.000
3.883 3.883 3.883
1.941 1.941 1.941
```

Values from the calculation:
* offset from the most stable computed form: 0.0 meV/atom
* final energy: -3.3148 eV/atom

[3]
BaPrAl after structural relaxation, computed with PBE-GGA.

Structure (POSCAR):
```
BaPrAl
1.0
0.000 3.912 3.912
3.912 0.000 3.912
3.912 3.912 0.000
Ba Pr Al
1 1 1
Cartesian
0.000 0.000 0.000
3.912 3.912 3.912
1.956 1.956 1.956
```

Values from the calculation:
* offset from the most stable computed form: 0.0 meV/atom
* final energy: -3.3483 eV/atom

[4]
BaPrAlTe3 after structural relaxation, computed with PBE-GGA.

Structure (POSCAR):
```
BaPrAlTe3
1.0
2.281 -8.353 0.000
2.281 8.353 0.000
0.000 0.000 11.001
Ba Pr Al Te
2 2 2 6
Cartesian
2.281 4.431 8.251
2.281 -4.431 2.750
0.000 0.000 0.000
0.000 0.000 5.500
2.281 0.246 2.750
2.281 -0.246 8.251
2.281 6.611 2.750
2.281 2.231 0.645
2.281 2.231 4.856
2.281 -2.231 6.145
2.281 -2.231 10.356
2.281 -6.611 8.251
```

Values from the calculation:
* final energy: -4.3199 eV/atom

[5]
BaAl2Pt2 after structural relaxation, computed with PBE-GGA.

Structure (POSCAR):
```
BaAl2Pt2
1.0
8.549 0.000 0.000
0.000 6.605 0.000
-0.840 0.000 8.252
Ba Al Pt
4 8 8
Cartesian
2.010 0.735 0.020
1.590 2.567 4.146
6.120 4.038 4.106
5.700 5.870 8.232
-0.099 3.836 7.209
0.321 6.071 3.083
3.576 4.282 1.550
3.156 5.625 5.675
4.553 0.980 2.576
4.133 2.323 6.702
7.388 0.534 5.168
7.808 2.769 1.042
1.077 4.415 1.411
0.657 5.493 5.537
2.446 3.975 7.350
2.866 5.932 3.224
4.843 0.673 5.028
5.263 2.629 0.902
7.052 1.112 2.715
6.632 2.190 6.841
```

Values from the calculation:
* final energy: -5.2313 eV/atom

[6]
Ba3Al4Pt4 after structural relaxation, computed with PBE-GGA.

Structure (POSCAR):
```
Ba3Al4Pt4
1.0
5.414 -4.114 0.000
5.414 4.114 0.000
0.000 0.000 11.985
Ba Al Pt
6 8 8
Cartesian
5.414 3.922 8.989
2.371 0.000 0.000
2.371 0.000 5.992
8.457 0.000 0.000
8.457 0.000 5.992
5.414 -3.922 2.996
3.952 1.225 2.996
5.414 0.847 7.482
5.414 0.847 10.495
6.876 1.225 2.996
3.952 -1.225 8.989
5.414 -0.847 1.489
5.414 -0.847 4.503
6.876 -1.225 8.989
3.393 1.260 8.989
5.414 1.649 0.884
5.414 1.649 5.108
3.393 -1.260 2.996
7.435 1.260 8.989
5.414 -1.649 6.876
5.414 -1.649 11.101
7.435 -1.260 2.996
```

Values from the calculation:
* final energy: -4.9530 eV/atom

[7]
BaAl2Pt2 after structural relaxation, computed with PBE-GGA.

Structure (POSCAR):
```
BaAl2Pt2
1.0
-2.255 2.255 5.479
2.255 -2.255 5.479
2.255 2.255 -5.479
Ba Al Pt
1 2 2
Cartesian
0.000 0.000 0.000
0.000 0.000 3.871
0.000 0.000 7.086
2.255 0.000 2.739
0.000 2.255 2.739
```

Values from the calculation:
* final energy: -5.1274 eV/atom

[8]
BaAl2Pt2 after structural relaxation, computed with PBE-GGA.

Structure (POSCAR):
```
BaAl2Pt2
1.0
-2.146 2.146 5.933
2.146 -2.146 5.933
2.146 2.146 -5.933
Ba Al Pt
1 2 2
Cartesian
0.000 0.000 0.000
2.146 0.000 2.966
0.000 2.146 2.966
0.000 0.000 4.330
0.000 0.000 7.536
```

Values from the calculation:
* final energy: -5.2251 eV/atom

[9]
BaAlZnPt2 after structural relaxation, computed with PBE-GGA.

Structure (POSCAR):
```
BaAlZnPt2
1.0
-2.184 2.184 5.643
2.184 -2.184 5.643
2.184 2.184 -5.643
Ba Al Zn Pt
1 1 1 2
Cartesian
0.000 0.000 0.000
0.000 2.184 2.822
2.184 0.000 2.822
0.000 0.000 4.208
0.000 0.000 7.078
```

Values from the calculation:
* final energy: -4.5744 eV/atom

[10]
BaAlRe after structural relaxation, computed with PBE-GGA.

Structure (POSCAR):
```
BaAlRe
1.0
0.000 3.344 3.344
3.344 0.000 3.344
3.344 3.344 0.000
Ba Al Re
1 1 1
Cartesian
0.000 0.000 0.000
3.344 3.344 3.344
5.016 5.016 5.016
```

Values from the calculation:
* offset from the most stable computed form: 0.0 meV/atom
* final energy: -4.9523 eV/atom

[11]
Ba2AlReS6 after structural relaxation, computed with PBE-GGA.

Structure (POSCAR):
```
Ba2AlReS6
1.0
0.000 4.785 4.785
4.785 0.000 4.785
4.785 4.785 0.000
Ba Al Re S
2 1 1 6
Cartesian
2.393 2.393 2.393
7.178 7.178 7.178
0.000 0.000 0.000
4.785 4.785 4.785
4.785 4.785 2.396
4.785 2.396 4.785
7.174 4.785 4.785
2.396 4.785 4.785
4.785 7.174 4.785
4.785 4.785 7.174
```

Values from the calculation:
* final energy: -5.4899 eV/atom

[12]
Ba2TaAlS6 after structural relaxation, computed with PBE-GGA.

Structure (POSCAR):
```
Ba2TaAlS6
1.0
0.000 4.844 4.844
4.844 0.000 4.844
4.844 4.844 0.000
Ba Ta Al S
2 1 1 6
Cartesian
2.422 2.422 2.422
7.266 7.266 7.266
0.000 0.000 0.000
4.844 4.844 4.844
4.844 4.844 2.441
4.844 2.441 4.844
7.248 4.844 4.844
2.441 4.844 4.844
4.844 7.248 4.844
4.844 4.844 7.248
```

Values from the calculation:
* final energy: -5.8085 eV/atom

no.,theoretical density (g/cm³)
1,5.9
2,4.4
3,4.2
4,5.5
5,8.3
6,8.1
7,8.7
8,8.8
9,9.6
10,7.8
11,5.2
12,4.9